# 1
! ThSc2Al6 (PBE-GGA, relaxed); values from VASP
&SYSTEM
  ibrav = 0, nat = 9, ntyp = 3
/
ATOMIC_SPECIES
Th 232.04 Th.upf
Sc 44.96 Sc.upf
Al 26.98 Al.upf
ATOMIC_POSITIONS angstrom
Th 0.000 0.000 0.000
Sc 2.217 -0.267 10.050
Sc 1.803 1.085 4.965
Al -0.951 0.185 6.181
Al 4.971 0.634 8.835
Al 1.360 2.734 9.687
Al 3.081 -0.214 7.255
Al 0.940 1.032 7.760
Al 2.660 -1.916 5.328
CELL_PARAMETERS angstrom
-1.055 -2.973 2.857
5.524 0.158 5.374
-0.449 3.633 6.784
! space group = Immm (71)
! M_tot = 0.00 μB/f.u.
! volume = 21.7 Å³ per atom
! DFT formation energy = -243 meV/atom

=====

# 2
! NaLiSm2Cl8 (PBE-GGA, relaxed); values from VASP
&SYSTEM
  ibrav = 0, nat = 12, ntyp = 4
/
ATOMIC_SPECIES
Na 22.99 Na.upf
Li 6.94 Li.upf
Sm 150.36 Sm.upf
Cl 35.45 Cl.upf
ATOMIC_POSITIONS angstrom
Na -0.518 -0.187 4.105
Li 0.000 0.000 0.000
Sm -5.483 -0.827 5.569
Sm -4.959 -0.637 1.405
Cl -4.571 -3.274 1.218
Cl -7.539 -1.171 7.353
Cl -5.317 2.011 1.365
Cl -5.871 1.810 5.756
Cl -2.903 -0.292 -0.379
Cl -5.124 -3.475 5.609
Cl -6.974 -0.975 3.255
Cl -3.468 -0.489 3.719
CELL_PARAMETERS angstrom
-5.253 3.812 -0.488
-4.154 -4.901 -0.747
-1.035 -0.374 8.209
! calculated total energy = -4.38 eV per atom
! space group = P2/m (10)
! M_tot = 0.00 μB/f.u.
! volume = 29.0 Å³ per atom

=====

Copy entry 1 word for word.
! ThSc2Al6 (PBE-GGA, relaxed); values from VASP
&SYSTEM
  ibrav = 0, nat = 9, ntyp = 3
/
ATOMIC_SPECIES
Th 232.04 Th.upf
Sc 44.96 Sc.upf
Al 26.98 Al.upf
ATOMIC_POSITIONS angstrom
Th 0.000 0.000 0.000
Sc 2.217 -0.267 10.050
Sc 1.803 1.085 4.965
Al -0.951 0.185 6.181
Al 4.971 0.634 8.835
Al 1.360 2.734 9.687
Al 3.081 -0.214 7.255
Al 0.940 1.032 7.760
Al 2.660 -1.916 5.328
CELL_PARAMETERS angstrom
-1.055 -2.973 2.857
5.524 0.158 5.374
-0.449 3.633 6.784
! space group = Immm (71)
! M_tot = 0.00 μB/f.u.
! volume = 21.7 Å³ per atom
! DFT formation energy = -243 meV/atom

=====

M_tot of number 1 (ThSc2Al6)? 0.00 μB/f.u.

=====

What is the M_tot in the second record? 0.00 μB/f.u.